ZrPdC2: optimized geometry, PBE-GGA.

Lattice parameters (Å, degrees): 4.7087 4.7087 6.2358 67.82 67.82 90.00
Atoms (fractional coordinates):
Pd: 0.0000 0.0000 0.0000
C: 0.3750 0.3441 0.7500
C: 0.0941 0.6250 0.2500
Pd: 0.7500 0.2500 0.5000
Zr: 0.5000 0.5000 0.0000
Zr: 0.2500 0.7500 0.5000
C: 0.8750 0.9059 0.7500
C: 0.6559 0.1250 0.2500

## Properties
- DOS(E_F): 5.214 states/eV per cell
- Energy of formation from the pure elements: 0.65 eV per atom
- Final energy: -7.3976 eV/atom

PbClF2: optimized geometry, PBE-GGA.

Lattice parameters (Å, degrees): 4.6159 4.6159 8.5302 74.30 74.30 90.00
Atoms (fractional coordinates):
F: 0.7013 0.1250 0.2500
Cl: 0.5000 0.5000 0.0000
F: 0.0487 0.6250 0.2500
F: 0.8750 0.9513 0.7500
Pb: 0.0000 0.0000 0.0000
F: 0.3750 0.2987 0.7500
Cl: 0.2500 0.7500 0.5000
Pb: 0.7500 0.2500 0.5000

## Properties
- DOS(E_F): 0.853 states/eV per cell
- Formation energy (no corrections): -1309 meV per atom
- Final energy: -3.6336 eV/atom

SnHg2Ge2: optimized geometry, PBE-GGA.

Lattice parameters (Å, degrees): 8.6212 8.6212 3.2071 90.00 90.00 90.00
Atoms (fractional coordinates):
Ge: 0.8774 0.3774 0.5000
Hg: 0.8267 0.6733 0.0000
Hg: 0.6733 0.1733 0.0000
Hg: 0.1733 0.3267 0.0000
Ge: 0.3774 0.1226 0.5000
Sn: 0.5000 0.5000 0.0000
Ge: 0.1226 0.6226 0.5000
Sn: 0.0000 0.0000 0.0000
Hg: 0.3267 0.8267 0.0000
Ge: 0.6226 0.8774 0.5000

## Properties
- DOS(E_F): 6.420 states/eV per cell
- Energy of formation from the pure elements: 0.28 eV per atom
- Final energy: -2.4903 eV/atom

Pa2GeMo: optimized geometry, PBE-GGA.

Lattice parameters (Å, degrees): 4.9613 4.9613 4.9613 60.00 60.00 60.00
Atoms (fractional coordinates):
Pa: 0.2500 0.2500 0.2500
Pa: 0.7500 0.7500 0.7500
Mo: 0.0000 0.0000 0.0000
Ge: 0.5000 0.5000 0.5000

## Properties
- DOS(E_F): 6.380 states/eV per cell
- Energy of formation from the pure elements: 0.04 eV per atom
- Final energy: -8.5696 eV/atom